Entry from the Alexandria database: a relaxed LiBiO2F crystal (PBE).

CIF file:
```
data_LiBiO2F
_space_group_name_H-M_alt 'P 4/m m m'
_space_group_IT_number 123
_space_group_name_Hall '-P 4 2'
_cell_length_a 3.846
_cell_length_b 3.846
_cell_length_c 3.671
_cell_angle_alpha 90.00
_cell_angle_beta 90.00
_cell_angle_gamma 90.00
loop_
_atom_site_label
_atom_site_type_symbol
_atom_site_fract_x
_atom_site_fract_y
_atom_site_fract_z
Li1 Li 0.000 0.000 0.000
Bi1 Bi 0.500 0.500 0.500
O1 O 0.000 0.500 0.000
F1 F 0.000 0.000 0.500
```

Values from the calculation:
ΔE_f (raw) in eV/atom: -1.2887